YNbTe: relaxed, PBE.

Cell lengths 3.951, 3.951, 9.986 Å; angles 90.00, 90.00, 90.00 degrees
Space group P4/nmm (No. 129, origin choice 2)
Unique sites:
Y1 0.250 0.250 0.246 [2 per cell]
Nb1 0.250 0.250 0.553 [2 per cell]
Te1 0.250 0.250 0.865 [2 per cell]

Results
VASP energy: -7.130 eV per atom